(1)
Y3TiRh: relaxed, PBE-GGA.

Cell lengths 5.147, 5.147, 5.147 Å; angles 90.00, 90.00, 90.00 degrees
Space group Pm-3m (No. 221)
Unique sites:
Y  0.000  0.000  0.500
Ti  0.000  0.000  0.000
Rh  0.500  0.500  0.500

Relative energy among the computed polymorphs: 703 meV/atom
Electronic total energy: -6.15 eV per atom

***

(2)
YTi4Rh5: relaxed, PBE-GGA.

Cell lengths 3.124, 3.124, 16.465 Å; angles 90.00, 90.00, 90.00 degrees
Space group P4/mmm (No. 123)
Unique sites:
Y  0.000  0.000  0.000
Ti  0.000  0.000  0.216
Ti  0.000  0.000  0.406
Rh  0.500  0.500  0.132
Rh  0.500  0.500  0.315
Rh  0.500  0.500  0.500

Electronic total energy: -8.24 eV per atom

***

Number 1: mass density 5.08 g/cm³. Number 2: mass density 8.22 g/cm³.